Model w:
VASP calculation (PBE-GGA) on crystalline TeRuRhN2 at its relaxed geometry.

Geometry as POSCAR:
```
TeRuRhN2
1.0
3.778 0.000 0.000
0.000 3.778 0.000
0.000 0.000 5.861
Ru Te Rh N
1 1 1 2
direct
0.000 0.000 0.000
0.000 0.000 0.500
0.500 0.500 0.500
0.000 0.500 0.000
0.500 0.000 0.000
```

Results
* magnetic moment: 1.010 μB/f.u.


Model x:
VASP calculation (PBE-GGA) on crystalline TeRuRhN2 at its relaxed geometry.

Geometry as POSCAR:
```
TeRuRhN2
1.0
3.764 0.000 0.000
0.000 3.764 0.000
0.000 0.000 6.295
Ru Te Rh N
1 1 1 2
direct
0.500 0.500 0.500
0.000 0.000 0.500
0.000 0.000 0.000
0.000 0.500 0.000
0.500 0.000 0.000
```

Results
* magnetic moment: 1.581 μB/f.u.


Short version: model x is the least stable of them.


Model w:
VASP calculation (PBE-GGA) on crystalline RhS3N at its relaxed geometry.

Geometry as POSCAR:
```
RhS3N
1.0
4.054 0.000 0.000
0.000 4.054 0.000
0.000 0.000 4.054
S Rh N
3 1 1
direct
0.000 0.500 0.000
0.000 0.000 0.500
0.500 0.000 0.000
0.500 0.500 0.500
0.000 0.000 0.000
```

Results
* magnetic moment: 0.000 μB/f.u.


Model x:
VASP calculation (PBE-GGA) on crystalline RhS3N at its relaxed geometry.

Geometry as POSCAR:
```
RhS3N
1.0
4.687 0.000 0.000
0.000 4.687 0.000
0.000 0.000 4.687
S Rh N
3 1 1
direct
0.000 0.500 0.000
0.000 0.000 0.500
0.500 0.000 0.000
0.000 0.000 0.000
0.500 0.500 0.500
```

Results
* magnetic moment: 0.974 μB/f.u.


Short version: model x is the least stable of them.